A relaxed structure of Li2PmCo9, computed with GGA-PBE.

Results
final energy	-72.33	eV/f.u.
total magnetization	26.10	μB/cell
energy of formation	0.016	eV/atom

a = 8.0702 Å, b = 8.0702 Å, c = 4.8094 Å
α = 90.00°, β = 90.00°, γ = 90.00°
Fractional coordinates of all 24 atoms:
Li  0.1142  0.3858  0.0000
Li  0.3858  0.8858  0.0000
Li  0.6142  0.1142  0.0000
Li  0.8858  0.6142  0.0000
Pm  0.0000  0.0000  0.0000
Pm  0.5000  0.5000  0.0000
Co  0.0000  0.5000  0.5000
Co  0.0688  0.2139  0.5000
Co  0.1794  0.6794  0.2389
Co  0.1794  0.6794  0.7611
Co  0.2139  0.9312  0.5000
Co  0.2861  0.4312  0.5000
Co  0.3206  0.1794  0.2389
Co  0.3206  0.1794  0.7611
Co  0.4312  0.7139  0.5000
Co  0.5000  0.0000  0.5000
Co  0.5688  0.2861  0.5000
Co  0.6794  0.8206  0.2389
Co  0.6794  0.8206  0.7611
Co  0.7139  0.5688  0.5000
Co  0.7861  0.0688  0.5000
Co  0.8206  0.3206  0.2389
Co  0.8206  0.3206  0.7611
Co  0.9312  0.7861  0.5000